Compound: BeCrSeBr2
Source: Alexandria via LeMat-Bulk
Functional: PBE
Structure: relaxed

```
BeCrSeBr2
1.0
-2.5440 -2.7289 2.8499
-2.4072 -1.6134 -3.6937
3.2999 -3.6550 -0.5540
Be Cr Br Se
1 1 2 1
Cartesian
0.0000 0.0000 0.0000 Be
-0.8257 -3.9986 -0.6989 Cr
-1.2720 -1.3644 1.4250 Br
-1.2036 -0.8067 -1.8469 Br
1.6499 -1.8275 -0.2770 Se
```

Offset from the most stable computed form, eV per atom: 0.0000
Total moment, μB per cell: 4.01
Space group: No. 123
Uncorrected formation energy, meV/atom: 142
D(E_F), states/eV/f.u.: 2.54